A geometry-optimized Ac2Pm7Nd4 structure, computed with GGA-PBE.

Cell: 6.366 6.366 13.537 Å, 90.00 90.00 120.00°
Atoms (fractional coordinates):
Ac  0.333  0.667  0.000
Ac  0.667  0.333  0.000
Pm  0.000  0.000  0.000
Pm  0.000  0.367  0.777
Pm  0.000  0.633  0.223
Pm  0.367  0.000  0.777
Pm  0.367  0.367  0.223
Pm  0.633  0.000  0.223
Pm  0.633  0.633  0.777
Nd  0.000  0.000  0.392
Nd  0.000  0.000  0.608
Nd  0.333  0.667  0.500
Nd  0.667  0.333  0.500

The value obtained for the uncorrected energy is -58.43 eV per cell. As for the energy of formation: 0.162 eV per atom. The space-group type is P-31m, No. 162. As for the density of states at the Fermi level: 18.74 states/eV/cell.

***

A geometry-optimized Ac8Pm5Nd structure, computed with GGA-PBE.

Cell: 9.052 9.064 9.290 Å, 62.81 61.64 86.92°
Atoms (fractional coordinates):
Ac  0.000  0.000  0.000
Ac  0.073  0.698  0.378
Ac  0.276  0.935  0.540
Ac  0.468  0.183  0.737
Ac  0.580  0.858  0.059
Ac  0.676  0.350  0.949
Ac  0.752  0.000  0.461
Ac  0.879  0.504  0.169
Pm  0.199  0.219  0.159
Pm  0.353  0.663  0.929
Pm  0.381  0.407  0.356
Pm  0.595  0.634  0.497
Pm  0.944  0.228  0.589
Nd  0.163  0.457  0.759

The value obtained for the uncorrected energy is -59.60 eV per cell. As for the energy of formation: 0.128 eV per atom. The space-group type is P1, No. 1. As for the density of states at the Fermi level: 21.59 states/eV/cell.

***

A geometry-optimized Ac3Pm3Nd2 structure, computed with GGA-PBE.

Cell: 10.238 10.238 6.873 Å, 90.00 90.00 120.00°
Atoms (fractional coordinates):
Ac  0.000  0.232  0.250
Ac  0.000  0.768  0.750
Ac  0.232  0.000  0.250
Ac  0.232  0.232  0.750
Ac  0.768  0.000  0.750
Ac  0.768  0.768  0.250
Pm  0.000  0.414  0.750
Pm  0.000  0.586  0.250
Pm  0.414  0.000  0.750
Pm  0.414  0.414  0.250
Pm  0.586  0.000  0.250
Pm  0.586  0.586  0.750
Nd  0.333  0.667  0.000
Nd  0.333  0.667  0.500
Nd  0.667  0.333  0.000
Nd  0.667  0.333  0.500

The value obtained for the uncorrected energy is -69.77 eV per cell. As for the energy of formation: 0.154 eV per atom. The space-group type is P6_3/mcm, No. 193. As for the density of states at the Fermi level: 30.61 states/eV/cell.